1.
5
Lattice="4.982 0.000 0.000 0.000 4.982 0.000 0.000 0.000 4.982" Properties=species:S:1:pos:R:3 comment="GGA-PBE NbSi3Br, optimized geometry" dos_at_fermi_per_ev_atom=1.43 raw_formation_energy_kj_per_mol_atoms=63 energy_ev_per_atom=-4.9448 pbc="T T T"
Nb 0.000 0.000 0.000
Si 0.000 2.491 0.000
Si 0.000 0.000 2.491
Si 2.491 0.000 0.000
Br 2.491 2.491 2.491

=====

2.
5
Lattice="4.778 0.000 0.000 0.000 4.778 0.000 0.000 0.000 4.778" Properties=species:S:1:pos:R:3 comment="GGA-PBE Nb3SiBr, optimized geometry" dos_at_fermi_per_ev_atom=1.64 raw_formation_energy_kj_per_mol_atoms=94 energy_ev_per_atom=-6.4871 pbc="T T T"
Nb 0.000 2.389 0.000
Nb 0.000 0.000 2.389
Nb 2.389 0.000 0.000
Si 0.000 0.000 0.000
Br 2.389 2.389 2.389